[1]
## KYTc2 (GGA-PBEsol)

Data for a geometry-optimized KYTc2 structure.

Output
symmetry: No. 123
formation energy from the elements: 827 meV/atom
final energy: -6.795 eV/atom

```
data_KYTc2
_space_group_name_H-M_alt 'P 1'
_space_group_IT_number 1
_cell_length_a 3.8112
_cell_length_b 3.8112
_cell_length_c 7.4091
_cell_angle_alpha 90.00
_cell_angle_beta 90.00
_cell_angle_gamma 90.00
loop_
_space_group_symop_operation_xyz
'x,y,z'
loop_
_atom_site_label
_atom_site_type_symbol
_atom_site_fract_x
_atom_site_fract_y
_atom_site_fract_z
_atom_site_occupancy
Tc1 Tc 0.0000 0.0000 0.1442 1
Y1 Y 0.5000 0.5000 0.0000 1
Tc2 Tc 0.0000 0.0000 0.8558 1
K1 K 0.5000 0.5000 0.5000 1
```

=====

[2]
## KYTc3 (GGA-PBEsol)

Data for a geometry-optimized KYTc3 structure.

Output
symmetry: No. 221
formation energy from the elements: 2497 meV/atom
final energy: -5.854 eV/atom

```
data_KYTc3
_space_group_name_H-M_alt 'P 1'
_space_group_IT_number 1
_cell_length_a 4.5371
_cell_length_b 4.5371
_cell_length_c 4.5371
_cell_angle_alpha 90.00
_cell_angle_beta 90.00
_cell_angle_gamma 90.00
loop_
_space_group_symop_operation_xyz
'x,y,z'
loop_
_atom_site_label
_atom_site_type_symbol
_atom_site_fract_x
_atom_site_fract_y
_atom_site_fract_z
_atom_site_occupancy
Y1 Y 0.5000 0.5000 0.5000 1
Tc1 Tc 0.0000 0.0000 0.5000 1
Tc2 Tc 0.0000 0.5000 0.0000 1
K1 K 0.0000 0.0000 0.0000 1
Tc3 Tc 0.5000 0.0000 0.0000 1
```

=====

[3]
## KZnTc2 (GGA-PBEsol)

Data for a geometry-optimized KZnTc2 structure.

Output
symmetry: No. 35
formation energy from the elements: 659 meV/atom
final energy: -5.653 eV/atom

```
data_KZnTc2
_space_group_name_H-M_alt 'P 1'
_space_group_IT_number 1
_cell_length_a 2.7099
_cell_length_b 2.7099
_cell_length_c 10.1981
_cell_angle_alpha 90.00
_cell_angle_beta 90.00
_cell_angle_gamma 114.53
loop_
_space_group_symop_operation_xyz
'x,y,z'
loop_
_atom_site_label
_atom_site_type_symbol
_atom_site_fract_x
_atom_site_fract_y
_atom_site_fract_z
_atom_site_occupancy
Tc1 Tc 0.0000 0.0000 0.9604 1
Tc2 Tc 0.5000 0.5000 0.7576 1
Zn1 Zn 0.0000 0.0000 0.5369 1
K1 K 0.5000 0.5000 0.2450 1
```

=====

[4]
## KZnTc2 (GGA-PBEsol)

Data for a geometry-optimized KZnTc2 structure.

Output
symmetry: No. 123
formation energy from the elements: 821 meV/atom
final energy: -5.491 eV/atom

```
data_KZnTc2
_space_group_name_H-M_alt 'P 1'
_space_group_IT_number 1
_cell_length_a 2.5878
_cell_length_b 2.5878
_cell_length_c 9.9356
_cell_angle_alpha 90.00
_cell_angle_beta 90.00
_cell_angle_gamma 90.00
loop_
_space_group_symop_operation_xyz
'x,y,z'
loop_
_atom_site_label
_atom_site_type_symbol
_atom_site_fract_x
_atom_site_fract_y
_atom_site_fract_z
_atom_site_occupancy
Tc1 Tc 0.0000 0.0000 0.7943 1
K1 K 0.5000 0.5000 0.5000 1
Zn1 Zn 0.5000 0.5000 0.0000 1
Tc2 Tc 0.0000 0.0000 0.2057 1
```

=====

[5]
## KZnTc2 (GGA-PBEsol)

Data for a geometry-optimized KZnTc2 structure.

Output
symmetry: No. 99
formation energy from the elements: 471 meV/atom
final energy: -5.841 eV/atom

```
data_KZnTc2
_space_group_name_H-M_alt 'P 1'
_space_group_IT_number 1
_cell_length_a 3.0249
_cell_length_b 3.0248
_cell_length_c 8.3374
_cell_angle_alpha 89.98
_cell_angle_beta 90.00
_cell_angle_gamma 90.00
loop_
_space_group_symop_operation_xyz
'x,y,z'
loop_
_atom_site_label
_atom_site_type_symbol
_atom_site_fract_x
_atom_site_fract_y
_atom_site_fract_z
_atom_site_occupancy
Tc1 Tc 0.5000 0.4997 0.2377 1
Tc2 Tc 0.0000 0.9999 0.0815 1
Zn1 Zn 0.0000 0.9996 0.4293 1
K1 K 0.5000 0.5008 0.7515 1
```

=====

[6]
## KZrTc2 (GGA-PBEsol)

Data for a geometry-optimized KZrTc2 structure.

Output
energy above the lowest structure with this stoichiometry: 57 kJ/mol of formula units
symmetry: No. 10
formation energy from the elements: 670 meV/atom
final energy: -7.519 eV/atom

```
data_KZrTc2
_space_group_name_H-M_alt 'P 1'
_space_group_IT_number 1
_cell_length_a 3.0374
_cell_length_b 4.2968
_cell_length_c 7.4830
_cell_angle_alpha 90.00
_cell_angle_beta 90.91
_cell_angle_gamma 90.00
loop_
_space_group_symop_operation_xyz
'x,y,z'
loop_
_atom_site_label
_atom_site_type_symbol
_atom_site_fract_x
_atom_site_fract_y
_atom_site_fract_z
_atom_site_occupancy
Tc1 Tc 0.0056 0.0000 0.1445 1
K1 K 0.5000 0.5000 0.5000 1
Zr1 Zr 0.5000 0.5000 0.0000 1
Tc2 Tc 0.9944 0.0000 0.8555 1
```

=====

[7]
## KZrTc2 (GGA-PBEsol)

Data for a geometry-optimized KZrTc2 structure.

Output
energy above the lowest structure with this stoichiometry: 67 kJ/mol of formula units
symmetry: No. 35
formation energy from the elements: 694 meV/atom
final energy: -7.495 eV/atom

```
data_KZrTc2
_space_group_name_H-M_alt 'P 1'
_space_group_IT_number 1
_cell_length_a 2.8381
_cell_length_b 2.8381
_cell_length_c 10.5666
_cell_angle_alpha 90.00
_cell_angle_beta 90.00
_cell_angle_gamma 112.19
loop_
_space_group_symop_operation_xyz
'x,y,z'
loop_
_atom_site_label
_atom_site_type_symbol
_atom_site_fract_x
_atom_site_fract_y
_atom_site_fract_z
_atom_site_occupancy
Tc1 Tc 0.5000 0.5000 0.7675 1
Tc2 Tc 0.0000 0.0000 0.9515 1
K1 K 0.5000 0.5000 0.2244 1
Zr1 Zr 0.0000 0.0000 0.5566 1
```

=====

[8]
## KZrTc2 (GGA-PBEsol)

Data for a geometry-optimized KZrTc2 structure.

Output
energy above the lowest structure with this stoichiometry: 0 kJ/mol of formula units
symmetry: No. 99
formation energy from the elements: 521 meV/atom
final energy: -7.668 eV/atom

```
data_KZrTc2
_space_group_name_H-M_alt 'P 1'
_space_group_IT_number 1
_cell_length_a 3.0321
_cell_length_b 3.0321
_cell_length_c 9.5880
_cell_angle_alpha 90.00
_cell_angle_beta 90.00
_cell_angle_gamma 90.00
loop_
_space_group_symop_operation_xyz
'x,y,z'
loop_
_atom_site_label
_atom_site_type_symbol
_atom_site_fract_x
_atom_site_fract_y
_atom_site_fract_z
_atom_site_occupancy
Tc1 Tc 0.5000 0.5000 0.2156 1
K1 K 0.5000 0.5000 0.7887 1
Zr1 Zr 0.0000 0.0000 0.4160 1
Tc2 Tc 0.0000 0.0000 0.0798 1
```

=====

[9]
## K2ZrTc (GGA-PBEsol)

Data for a geometry-optimized K2ZrTc structure.

Output
symmetry: No. 123
formation energy from the elements: 1310 meV/atom
final energy: -4.345 eV/atom

```
data_K2ZrTc
_space_group_name_H-M_alt 'P 1'
_space_group_IT_number 1
_cell_length_a 2.7870
_cell_length_b 2.7870
_cell_length_c 12.5440
_cell_angle_alpha 90.00
_cell_angle_beta 90.00
_cell_angle_gamma 90.00
loop_
_space_group_symop_operation_xyz
'x,y,z'
loop_
_atom_site_label
_atom_site_type_symbol
_atom_site_fract_x
_atom_site_fract_y
_atom_site_fract_z
_atom_site_occupancy
Zr1 Zr 0.5000 0.5000 0.5000 1
K1 K 0.0000 0.0000 0.7802 1
K2 K 0.0000 0.0000 0.2198 1
Tc1 Tc 0.5000 0.5000 0.0000 1
```

=====

[10]
## KZrTc2 (GGA-PBEsol)

Data for a geometry-optimized KZrTc2 structure.

Output
energy above the lowest structure with this stoichiometry: 133 kJ/mol of formula units
symmetry: No. 166
formation energy from the elements: 865 meV/atom
final energy: -7.324 eV/atom

```
data_KZrTc2
_space_group_name_H-M_alt 'P 1'
_space_group_IT_number 1
_cell_length_a 2.8035
_cell_length_b 2.8035
_cell_length_c 10.9181
_cell_angle_alpha 82.62
_cell_angle_beta 82.62
_cell_angle_gamma 60.00
loop_
_space_group_symop_operation_xyz
'x,y,z'
loop_
_atom_site_label
_atom_site_type_symbol
_atom_site_fract_x
_atom_site_fract_y
_atom_site_fract_z
_atom_site_occupancy
Tc1 Tc 0.7569 0.7569 0.7292 1
K1 K 0.0000 0.0000 0.0000 1
Tc2 Tc 0.2431 0.2431 0.2708 1
Zr1 Zr 0.5000 0.5000 0.5000 1
```

=====

[11]
## KZrTc (GGA-PBEsol)

Data for a geometry-optimized KZrTc structure.

Output
symmetry: No. 156
formation energy from the elements: 966 meV/atom
final energy: -6.198 eV/atom

```
data_KZrTc
_space_group_name_H-M_alt 'P 1'
_space_group_IT_number 1
_cell_length_a 2.8889
_cell_length_b 2.8889
_cell_length_c 8.7877
_cell_angle_alpha 90.00
_cell_angle_beta 90.00
_cell_angle_gamma 120.00
loop_
_space_group_symop_operation_xyz
'x,y,z'
loop_
_atom_site_label
_atom_site_type_symbol
_atom_site_fract_x
_atom_site_fract_y
_atom_site_fract_z
_atom_site_occupancy
Tc1 Tc 0.3333 0.6667 0.6503 1
Zr1 Zr 0.6667 0.3333 0.3733 1
K1 K 0.0000 0.0000 0.9764 1
```

=====

[12]
## KZrTc2 (GGA-PBEsol)

Data for a geometry-optimized KZrTc2 structure.

Output
energy above the lowest structure with this stoichiometry: 53 kJ/mol of formula units
symmetry: No. 65
formation energy from the elements: 658 meV/atom
final energy: -7.531 eV/atom

```
data_KZrTc2
_space_group_name_H-M_alt 'P 1'
_space_group_IT_number 1
_cell_length_a 2.8457
_cell_length_b 2.8457
_cell_length_c 10.0235
_cell_angle_alpha 90.00
_cell_angle_beta 90.00
_cell_angle_gamma 111.74
loop_
_space_group_symop_operation_xyz
'x,y,z'
loop_
_atom_site_label
_atom_site_type_symbol
_atom_site_fract_x
_atom_site_fract_y
_atom_site_fract_z
_atom_site_occupancy
Tc1 Tc 0.0000 0.0000 0.7135 1
Tc2 Tc 0.0000 0.0000 0.2865 1
Zr1 Zr 0.5000 0.5000 0.5000 1
K1 K 0.5000 0.5000 0.0000 1
```

=====

[13]
## KTe5 (GGA-PBEsol)

Data for a geometry-optimized KTe5 structure.

Output
symmetry: No. 38
final energy: -3.223 eV/atom

```
data_KTe5
_space_group_name_H-M_alt 'P 1'
_space_group_IT_number 1
_cell_length_a 4.0637
_cell_length_b 4.2759
_cell_length_c 12.0246
_cell_angle_alpha 100.24
_cell_angle_beta 90.00
_cell_angle_gamma 90.00
loop_
_space_group_symop_operation_xyz
'x,y,z'
loop_
_atom_site_label
_atom_site_type_symbol
_atom_site_fract_x
_atom_site_fract_y
_atom_site_fract_z
_atom_site_occupancy
Te1 Te 0.5000 0.5713 0.1426 1
Te2 Te 0.5000 0.8711 0.7423 1
Te3 Te 0.5000 0.2175 0.4351 1
Te4 Te 0.0000 0.6662 0.3323 1
Te5 Te 0.0000 0.3458 0.6916 1
K1 K 0.0000 0.9947 0.9894 1
```

=====

[14]
## K2Te3 (GGA-PBEsol)

Data for a geometry-optimized K2Te3 structure.

Output
symmetry: No. 62
final energy: -3.270 eV/atom

```
data_K2Te3
_space_group_name_H-M_alt 'P 1'
_space_group_IT_number 1
_cell_length_a 4.3013
_cell_length_b 10.1174
_cell_length_c 16.3653
_cell_angle_alpha 90.00
_cell_angle_beta 90.00
_cell_angle_gamma 90.00
loop_
_space_group_symop_operation_xyz
'x,y,z'
loop_
_atom_site_label
_atom_site_type_symbol
_atom_site_fract_x
_atom_site_fract_y
_atom_site_fract_z
_atom_site_occupancy
K1 K 0.7518 0.4647 0.8749 1
K2 K 0.2482 0.5353 0.1251 1
K3 K 0.7482 0.0353 0.3749 1
Te1 Te 0.7450 0.2500 0.1249 1
Te2 Te 0.2671 0.2500 0.2571 1
Te3 Te 0.2550 0.7500 0.8751 1
K4 K 0.2482 0.9647 0.1251 1
Te4 Te 0.7675 0.7500 0.5073 1
Te5 Te 0.7325 0.7500 0.0073 1
K5 K 0.7518 0.0353 0.8749 1
K6 K 0.7482 0.4647 0.3749 1
Te6 Te 0.2450 0.7500 0.3751 1
Te7 Te 0.2325 0.2500 0.4927 1
Te8 Te 0.7550 0.2500 0.6249 1
Te9 Te 0.7671 0.7500 0.2429 1
K7 K 0.2518 0.5353 0.6251 1
Te10 Te 0.2329 0.2500 0.7571 1
Te11 Te 0.2675 0.2500 0.9927 1
K8 K 0.2518 0.9647 0.6251 1
Te12 Te 0.7329 0.7500 0.7429 1
```

=====

[15]
## KTe2 (GGA-PBEsol)

Data for a geometry-optimized KTe2 structure.

Output
energy above the lowest structure with this stoichiometry: 53 kJ/mol of formula units
symmetry: No. 194
final energy: -3.091 eV/atom

```
data_KTe2
_space_group_name_H-M_alt 'P 1'
_space_group_IT_number 1
_cell_length_a 5.2273
_cell_length_b 5.2273
_cell_length_c 9.3503
_cell_angle_alpha 90.00
_cell_angle_beta 90.00
_cell_angle_gamma 120.00
loop_
_space_group_symop_operation_xyz
'x,y,z'
loop_
_atom_site_label
_atom_site_type_symbol
_atom_site_fract_x
_atom_site_fract_y
_atom_site_fract_z
_atom_site_occupancy
Te1 Te 0.6667 0.3333 0.4808 1
Te2 Te 0.3333 0.6667 0.5192 1
Te3 Te 0.3333 0.6667 0.9808 1
K1 K 0.0000 0.0000 0.2500 1
Te4 Te 0.6667 0.3333 0.0192 1
K2 K 0.0000 0.0000 0.7500 1
```

=====

[16]
## KTe (GGA-PBEsol)

Data for a geometry-optimized KTe structure.

Output
symmetry: No. 194
final energy: -2.852 eV/atom

```
data_KTe
_space_group_name_H-M_alt 'P 1'
_space_group_IT_number 1
_cell_length_a 3.8763
_cell_length_b 3.8763
_cell_length_c 10.5417
_cell_angle_alpha 90.00
_cell_angle_beta 90.00
_cell_angle_gamma 120.00
loop_
_space_group_symop_operation_xyz
'x,y,z'
loop_
_atom_site_label
_atom_site_type_symbol
_atom_site_fract_x
_atom_site_fract_y
_atom_site_fract_z
_atom_site_occupancy
Te1 Te 0.6667 0.3333 0.7500 1
K1 K 0.0000 0.0000 0.5000 1
K2 K 0.0000 0.0000 0.0000 1
Te2 Te 0.3333 0.6667 0.2500 1
```

=====

[17]
## KTe2 (GGA-PBEsol)

Data for a geometry-optimized KTe2 structure.

Output
energy above the lowest structure with this stoichiometry: 16 kJ/mol of formula units
symmetry: No. 8
final energy: -3.219 eV/atom

```
data_KTe2
_space_group_name_H-M_alt 'P 1'
_space_group_IT_number 1
_cell_length_a 4.3868
_cell_length_b 6.3226
_cell_length_c 9.0259
_cell_angle_alpha 79.02
_cell_angle_beta 75.94
_cell_angle_gamma 69.70
loop_
_space_group_symop_operation_xyz
'x,y,z'
loop_
_atom_site_label
_atom_site_type_symbol
_atom_site_fract_x
_atom_site_fract_y
_atom_site_fract_z
_atom_site_occupancy
Te1 Te 0.6953 0.5472 0.0623 1
Te2 Te 0.0877 0.5158 0.3088 1
K1 K 0.7404 0.8990 0.6202 1
K2 K 0.9863 0.0079 0.0196 1
Te3 Te 0.3133 0.0462 0.3272 1
Te4 Te 0.3437 0.4840 0.8286 1
```

=====

[18]
## KTe (GGA-PBEsol)

Data for a geometry-optimized KTe structure.

Output
symmetry: No. 166
final energy: -2.332 eV/atom

```
data_KTe
_space_group_name_H-M_alt 'P 1'
_space_group_IT_number 1
_cell_length_a 3.5625
_cell_length_b 3.5625
_cell_length_c 13.4297
_cell_angle_alpha 82.38
_cell_angle_beta 82.38
_cell_angle_gamma 60.00
loop_
_space_group_symop_operation_xyz
'x,y,z'
loop_
_atom_site_label
_atom_site_type_symbol
_atom_site_fract_x
_atom_site_fract_y
_atom_site_fract_z
_atom_site_occupancy
K1 K 0.1130 0.1130 0.6609 1
K2 K 0.8870 0.8870 0.3391 1
Te1 Te 0.3789 0.3789 0.8632 1
Te2 Te 0.6211 0.6211 0.1368 1
```

=====

[19]
## KTe (GGA-PBEsol)

Data for a geometry-optimized KTe structure.

Output
symmetry: No. 194
final energy: -3.126 eV/atom

```
data_KTe
_space_group_name_H-M_alt 'P 1'
_space_group_IT_number 1
_cell_length_a 5.5525
_cell_length_b 5.5525
_cell_length_c 11.9453
_cell_angle_alpha 90.00
_cell_angle_beta 90.00
_cell_angle_gamma 120.00
loop_
_space_group_symop_operation_xyz
'x,y,z'
loop_
_atom_site_label
_atom_site_type_symbol
_atom_site_fract_x
_atom_site_fract_y
_atom_site_fract_z
_atom_site_occupancy
K1 K 0.6667 0.3333 0.2500 1
Te1 Te 0.6667 0.3333 0.8677 1
Te2 Te 0.3333 0.6667 0.1323 1
Te3 Te 0.6667 0.3333 0.6323 1
Te4 Te 0.3333 0.6667 0.3677 1
K2 K 0.0000 0.0000 0.5000 1
K3 K 0.0000 0.0000 0.0000 1
K4 K 0.3333 0.6667 0.7500 1
```

=====

[20]
## KTe3 (GGA-PBEsol)

Data for a geometry-optimized KTe3 structure.

Output
energy above the lowest structure with this stoichiometry: 11 kJ/mol of formula units
symmetry: No. 25
final energy: -3.136 eV/atom

```
data_KTe3
_space_group_name_H-M_alt 'P 1'
_space_group_IT_number 1
_cell_length_a 3.5250
_cell_length_b 5.9120
_cell_length_c 5.9904
_cell_angle_alpha 90.00
_cell_angle_beta 90.00
_cell_angle_gamma 90.00
loop_
_space_group_symop_operation_xyz
'x,y,z'
loop_
_atom_site_label
_atom_site_type_symbol
_atom_site_fract_x
_atom_site_fract_y
_atom_site_fract_z
_atom_site_occupancy
K1 K 0.0000 0.0000 0.9301 1
Te1 Te 0.5000 0.0000 0.4316 1
Te2 Te 0.5000 0.5000 0.9566 1
Te3 Te 0.0000 0.5000 0.3484 1
```